No. 1
This record from Alexandria describes TmInSnAu after structural relaxation. The functional is PBE-GGA.

```
TmInSnAu
1.0
0.000 3.616 3.616
3.616 0.000 3.616
3.616 3.616 0.000
Tm In Sn Au
1 1 1 1
Cartesian
0.000 0.000 0.000 Tm
3.616 3.616 3.616 In
1.808 1.808 1.808 Sn
5.424 5.424 5.424 Au
```

Results
The value obtained for the density of states at the Fermi level is 4.01 states/eV/f.u. Its formation energy is -0.337 eV/atom.

No. 2
This record from Alexandria describes UInSnAu after structural relaxation. The functional is PBE-GGA.

```
UInSnAu
1.0
0.000 3.618 3.618
3.618 0.000 3.618
3.618 3.618 0.000
U In Sn Au
1 1 1 1
Cartesian
0.000 0.000 0.000 U
3.618 3.618 3.618 In
1.809 1.809 1.809 Sn
5.427 5.427 5.427 Au
```

Results
The value obtained for the density of states at the Fermi level is 5.56 states/eV/f.u. Its formation energy is -0.017 eV/atom.

No. 3
This record from Alexandria describes VIn2SnAu after structural relaxation. The functional is PBE-GGA.

```
VIn2SnAu
1.0
5.176 0.000 0.000
0.000 5.176 0.000
0.000 0.000 5.510
V In Sn Au
1 2 1 1
Cartesian
0.000 0.000 0.000 V
0.000 2.588 2.755 In
2.588 0.000 2.755 In
2.588 2.588 0.000 Sn
2.588 2.588 2.755 Au
```

Results
The value obtained for the density of states at the Fermi level is 8.01 states/eV/f.u. Its formation energy is 0.976 eV/atom.

No. 4
This record from Alexandria describes VInSnAu2 after structural relaxation. The functional is PBE-GGA.

```
VInSnAu2
1.0
4.991 0.000 0.000
0.000 4.991 0.000
0.000 0.000 5.169
V In Sn Au
1 1 1 2
Cartesian
0.000 0.000 0.000 V
0.000 0.000 2.585 In
2.495 2.495 2.585 Sn
0.000 2.495 0.000 Au
2.495 0.000 0.000 Au
```

Results
The value obtained for the density of states at the Fermi level is 3.92 states/eV/f.u. Its formation energy is 0.612 eV/atom.

No. 5
This record from Alexandria describes ZrInSnAu after structural relaxation. The functional is PBE-GGA.

```
ZrInSnAu
1.0
4.181 0.000 0.000
0.000 4.386 0.000
0.000 0.000 4.641
Zr In Sn Au
1 1 1 1
Cartesian
0.000 0.000 0.000 Zr
2.091 0.000 2.320 In
2.091 2.193 0.000 Sn
0.000 2.193 2.320 Au
```

Results
The value obtained for the density of states at the Fermi level is 1.69 states/eV/f.u. Its formation energy is -0.360 eV/atom.

No. 6
This record from Alexandria describes SrIn6Au2 after structural relaxation. The functional is PBE-GGA.

```
SrIn6Au2
1.0
4.556 0.000 0.000
0.000 4.556 0.000
0.000 0.000 11.383
Sr In Au
1 6 2
Cartesian
0.000 0.000 0.000 Sr
0.000 0.000 5.692 In
0.000 2.278 3.163 In
0.000 2.278 8.220 In
2.278 0.000 3.163 In
2.278 0.000 8.220 In
2.278 2.278 5.692 In
2.278 2.278 1.365 Au
2.278 2.278 10.018 Au
```

Results
The value obtained for the density of states at the Fermi level is 3.51 states/eV/f.u. Its formation energy is -0.269 eV/atom.

No. 7
This record from Alexandria describes Sr5In4Au after structural relaxation. The functional is PBE-GGA.

```
Sr5In4Au
1.0
4.046 0.000 0.000
0.000 4.046 0.000
0.000 0.000 19.940
Sr In Au
5 4 1
Cartesian
0.000 0.000 0.000 Sr
0.000 0.000 4.063 Sr
0.000 0.000 8.131 Sr
0.000 0.000 11.809 Sr
0.000 0.000 15.877 Sr
2.023 2.023 2.073 In
2.023 2.023 6.035 In
2.023 2.023 13.905 In
2.023 2.023 17.866 In
2.023 2.023 9.970 Au
```

Results
The value obtained for the density of states at the Fermi level is 7.63 states/eV/f.u. Its formation energy is -0.479 eV/atom.

No. 8
This record from Alexandria describes Sr2InAu2 after structural relaxation. The functional is PBE-GGA.

```
Sr2InAu2
1.0
-3.086 3.086 4.096
3.086 -3.086 4.096
3.086 3.086 -4.096
Sr In Au
2 1 2
Cartesian
3.086 0.000 2.048 Sr
0.000 3.086 2.048 Sr
0.000 0.000 0.000 In
0.000 0.000 2.770 Au
0.000 0.000 5.423 Au
```

Results
The value obtained for the density of states at the Fermi level is 4.33 states/eV/f.u. Its formation energy is -0.530 eV/atom.

No. 9
This record from Alexandria describes Sr4InAu after structural relaxation. The functional is PBE-GGA.

```
Sr4InAu
1.0
5.142 -7.570 0.000
5.142 7.570 0.000
-3.915 0.000 6.197
Sr In Au
8 2 2
Cartesian
0.324 4.885 5.660 Sr
0.212 0.910 4.462 Sr
4.087 4.885 3.636 Sr
2.170 -0.910 1.363 Sr
4.199 0.910 4.834 Sr
2.282 -4.885 2.561 Sr
6.157 -0.910 1.735 Sr
6.045 -4.885 0.537 Sr
4.163 2.040 1.549 In
2.206 -2.040 4.648 In
2.206 7.520 4.648 Au
4.163 -7.520 1.549 Au
```

Results
The value obtained for the density of states at the Fermi level is 5.53 states/eV/f.u. Its formation energy is -0.409 eV/atom. The calculation puts the energy above the most stable polymorph in this dataset at 0.07 eV/f.u.

No. 10
This record from Alexandria describes Sr2In5Au12 after structural relaxation. The functional is PBE-GGA.

```
Sr2In5Au12
1.0
4.924 2.843 4.951
-4.924 2.843 4.951
0.000 -5.686 4.951
Sr In Au
2 5 12
Cartesian
0.000 0.000 2.260 Sr
0.000 0.000 12.593 Sr
-2.462 -1.421 4.951 In
0.000 0.000 6.017 In
-2.462 1.421 9.902 In
0.000 2.843 4.951 In
0.000 0.000 8.836 In
0.000 -2.916 4.583 Au
-2.525 1.458 4.583 Au
-1.486 -2.573 7.427 Au
-2.972 0.000 7.427 Au
-2.525 -1.458 10.270 Au
1.486 -2.573 7.427 Au
-1.486 2.573 7.427 Au
2.525 1.458 4.583 Au
2.972 0.000 7.427 Au
1.486 2.573 7.427 Au
2.525 -1.458 10.271 Au
0.000 2.916 10.271 Au
```

Results
The value obtained for the density of states at the Fermi level is 9.21 states/eV/f.u. Its formation energy is -0.304 eV/atom.

No. 11
This record from Alexandria describes SrInAu4 after structural relaxation. The functional is PBE-GGA.

```
SrInAu4
1.0
7.180 0.000 0.000
0.000 19.078 0.000
0.000 0.000 4.283
Sr In Au
4 4 16
Cartesian
1.640 3.237 0.000 Sr
1.950 12.776 0.000 Sr
5.230 6.302 0.000 Sr
5.540 15.841 0.000 Sr
1.312 8.405 0.000 In
2.278 17.944 0.000 In
4.902 1.134 0.000 In
5.868 10.673 0.000 In
0.350 17.684 2.142 Au
0.533 14.874 2.142 Au
0.654 6.621 2.142 Au
1.213 10.366 2.142 Au
2.377 0.827 2.142 Au
2.937 16.160 2.142 Au
3.057 5.335 2.142 Au
3.240 8.145 2.142 Au
3.940 10.933 2.142 Au
4.123 13.744 2.142 Au
4.244 2.918 2.142 Au
4.803 18.251 2.142 Au
5.967 8.712 2.142 Au
6.527 12.457 2.142 Au
6.647 4.204 2.142 Au
6.831 1.394 2.142 Au
```

Results
The value obtained for the density of states at the Fermi level is 1.68 states/eV/f.u. Its formation energy is -0.410 eV/atom. The calculation puts the energy above the most stable polymorph in this dataset at 0.03 eV/f.u.

No. 12
This record from Alexandria describes SrIn2Au6 after structural relaxation. The functional is PBE-GGA.

```
SrIn2Au6
1.0
0.000 6.232 6.232
6.232 0.000 6.232
6.232 6.232 0.000
Sr In Au
2 4 12
Cartesian
1.558 1.558 1.558 Sr
10.906 10.906 10.906 Sr
6.232 3.116 3.116 In
3.116 6.232 3.116 In
3.116 3.116 6.232 In
6.232 6.232 6.232 In
4.674 4.674 1.528 Au
4.674 1.528 4.674 Au
7.819 4.674 4.674 Au
7.790 7.790 4.644 Au
7.790 4.644 7.790 Au
10.935 7.790 7.790 Au
1.528 4.674 4.674 Au
4.674 7.819 4.674 Au
4.674 4.674 7.819 Au
4.644 7.790 7.790 Au
7.790 10.935 7.790 Au
7.790 7.790 10.935 Au
```

Results
The value obtained for the density of states at the Fermi level is 5.19 states/eV/f.u. Its formation energy is -0.027 eV/atom.